P:
Compound: Zr2Fe2Ag
Source: Alexandria via LeMat-Bulk
Functional: PBE
Structure: optimized geometry

Summary:
As for the space group: P4/mbm (127). As for the magnetization: 0.29 μB/atom.

Cell and atoms, written as extended XYZ:
```
10
Lattice="7.588 0.000 0.000 0.000 7.588 0.000 0.000 0.000 3.035" Properties=species:S:1:pos:R:3 pbc="T T T"
Zr 2.667 6.461 0.000
Zr 6.461 4.921 0.000
Zr 4.921 1.127 0.000
Zr 1.127 2.667 0.000
Ag 0.000 0.000 0.000
Ag 3.794 3.794 0.000
Fe 1.090 4.884 1.518
Fe 4.884 6.499 1.518
Fe 6.499 2.705 1.518
Fe 2.705 1.090 1.518
```


Q:
Compound: Zr2Fe2Ag
Source: Alexandria via LeMat-Bulk
Functional: PBE
Structure: optimized geometry

Summary:
As for the space group: I4/mmm (139). As for the magnetization: 0.72 μB/atom.

Cell and atoms, written as extended XYZ:
```
5
Lattice="3.298 0.000 0.000 0.000 3.298 0.000 1.649 1.649 8.363" Properties=species:S:1:pos:R:3 pbc="T T T"
Zr 1.649 1.649 2.000
Zr 3.298 3.298 6.363
Ag 0.000 0.000 0.000
Fe 3.298 1.649 4.182
Fe 1.649 3.298 4.182
```


Q has the most favorable energy; the next structure is 0.112 eV/atom above.


P:
Compound: Zr2FeAg
Source: Alexandria via LeMat-Bulk
Functional: PBE
Structure: optimized geometry

Summary:
As for the space group: R3m (160). As for the magnetization: 0.44 μB/atom.

Cell and atoms, written as extended XYZ:
```
4
Lattice="9.275 -0.017 -0.010 8.748 3.080 -0.010 8.748 1.487 2.697" Properties=species:S:1:pos:R:3 pbc="T T T"
Ag 13.162 2.237 1.316
Fe 20.040 3.406 2.004
Zr 0.304 0.052 0.030
Zr 6.650 1.130 0.665
```


Q:
Compound: Zr2FeAg
Source: Alexandria via LeMat-Bulk
Functional: PBE
Structure: optimized geometry

Summary:
As for the space group: P4/mmm (123). As for the magnetization: 0.12 μB/atom.

Cell and atoms, written as extended XYZ:
```
4
Lattice="-2.551 0.321 -3.942 -3.352 -2.654 1.954 -4.844 0.101 3.144" Properties=species:S:1:pos:R:3 pbc="T T T"
Ag -5.374 -1.116 0.578
Fe -2.422 0.051 1.572
Zr 0.000 0.000 0.000
Zr -2.952 -1.167 -0.994
```


R:
Compound: Zr2FeAg
Source: Alexandria via LeMat-Bulk
Functional: PBE
Structure: optimized geometry

Summary:
As for the space group: F-43m (216). As for the magnetization: 0.22 μB/atom.

Cell and atoms, written as extended XYZ:
```
4
Lattice="4.681 0.000 0.000 2.341 4.054 0.000 2.341 1.351 3.822" Properties=species:S:1:pos:R:3 pbc="T T T"
Ag 4.681 2.703 1.911
Fe 2.341 1.351 0.956
Zr 0.000 0.000 0.000
Zr 7.022 4.054 2.867
```


S:
Compound: Zr2FeAg
Source: Alexandria via LeMat-Bulk
Functional: PBE
Structure: optimized geometry

Summary:
As for the space group: I-42d (122). As for the magnetization: 0.00 μB/atom.

Cell and atoms, written as extended XYZ:
```
8
Lattice="-6.782 2.649 -0.663 -0.024 -1.833 -7.078 -4.469 -2.153 -3.204" Properties=species:S:1:pos:R:3 pbc="T T T"
Zr -5.093 0.784 -2.074
Zr -2.247 -1.249 -5.334
Zr -5.905 -1.381 -5.584
Zr -9.306 -0.829 -8.898
Ag 0.000 0.000 0.000
Ag -7.327 0.452 -3.869
Fe -3.403 0.408 -3.871
Fe -3.948 -1.789 -7.076
```


Q has the most favorable energy; the next structure is 0.190 eV/atom above.


P:
Compound: Zr2FeAg
Source: Alexandria via LeMat-Bulk
Functional: PBE
Structure: optimized geometry

Summary:
As for the space group: Fm-3m (225). As for the magnetization: 0.00 μB/atom.

Cell and atoms, written as extended XYZ:
```
4
Lattice="-2.096 -3.733 1.917 -1.597 0.211 4.406 -4.618 0.067 0.820" Properties=species:S:1:pos:R:3 pbc="T T T"
Zr -2.078 -0.864 1.786
Zr -6.233 -2.591 5.357
Ag -4.155 -1.727 3.571
Fe 0.000 0.000 0.000
```


Q:
Compound: Zr2FeAg
Source: Alexandria via LeMat-Bulk
Functional: PBE
Structure: optimized geometry

Summary:
As for the space group: I-4m2 (119). As for the magnetization: 0.42 μB/atom.

Cell and atoms, written as extended XYZ:
```
4
Lattice="-0.394 4.878 2.204 -4.713 2.469 -0.711 1.571 -4.850 1.680" Properties=species:S:1:pos:R:3 pbc="T T T"
Ag -2.553 3.674 0.746
Fe -0.688 1.851 2.315
Zr 0.000 0.000 0.000
Zr -2.847 0.647 0.858
```


R:
Compound: Zr2FeAg
Source: Alexandria via LeMat-Bulk
Functional: PBE
Structure: optimized geometry

Summary:
As for the space group: P4/mmm (123). As for the magnetization: 0.13 μB/atom.

Cell and atoms, written as extended XYZ:
```
4
Lattice="-1.627 2.604 0.596 -2.085 -1.674 1.623 4.008 1.071 6.255" Properties=species:S:1:pos:R:3 pbc="T T T"
Zr 3.859 1.031 6.022
Zr 2.153 0.575 3.360
Ag -0.854 0.733 2.673
Fe 1.150 1.268 5.801
```


S:
Compound: Zr2FeAg
Source: Alexandria via LeMat-Bulk
Functional: PBE
Structure: optimized geometry

Summary:
As for the space group: Imm2 (44). As for the magnetization: 0.13 μB/atom.

Cell and atoms, written as extended XYZ:
```
4
Lattice="5.707 -0.044 -0.021 2.953 4.884 0.021 -3.851 -3.277 2.646" Properties=species:S:1:pos:R:3 pbc="T T T"
Ag 4.046 2.261 0.000
Fe 1.659 1.982 1.334
Zr 0.333 0.186 0.000
Zr 3.102 -0.446 1.313
```


R has the most favorable energy; the next structure is 0.128 eV/atom above.


P:
Compound: Zr2FeAg
Source: Alexandria via LeMat-Bulk
Functional: PBE
Structure: optimized geometry

Summary:
As for the space group: C2/m (12). As for the magnetization: 0.00 μB/atom.

Cell and atoms, written as extended XYZ:
```
4
Lattice="-0.022 3.441 1.085 -1.037 2.974 -1.760 -7.389 0.081 2.622" Properties=species:S:1:pos:R:3 pbc="T T T"
Ag -6.335 4.872 1.460
Fe -2.112 1.624 0.487
Zr -1.405 6.395 -0.548
Zr -3.877 3.268 0.846
```


Q:
Compound: Zr2FeAg
Source: Alexandria via LeMat-Bulk
Functional: PBE
Structure: optimized geometry

Summary:
As for the space group: P4mm (99). As for the magnetization: 0.51 μB/atom.

Cell and atoms, written as extended XYZ:
```
4
Lattice="3.378 0.000 0.000 0.000 3.379 0.000 0.000 0.000 6.610" Properties=species:S:1:pos:R:3 pbc="T T T"
Ag 0.000 0.000 3.441
Fe 1.689 1.690 5.018
Zr 0.000 0.000 6.359
Zr 1.689 1.690 1.706
```


R:
Compound: Zr2FeAg
Source: Alexandria via LeMat-Bulk
Functional: PBE
Structure: optimized geometry

Summary:
As for the space group: Pm (6). As for the magnetization: 0.00 μB/atom.

Cell and atoms, written as extended XYZ:
```
4
Lattice="-4.085 -1.346 -0.338 -0.185 -0.264 3.290 -1.753 4.803 2.054" Properties=species:S:1:pos:R:3 pbc="T T T"
Ag -0.951 2.060 3.290
Fe -3.574 3.118 3.230
Zr -1.782 4.130 5.084
Zr -2.624 0.692 1.417
```


R has the most favorable energy; the next structure is 0.024 eV/atom above.


P:
Compound: ZrFe3Ag
Source: Alexandria via LeMat-Bulk
Functional: PBE
Structure: optimized geometry

Summary:
As for the space group: Pm-3m (221). As for the magnetization: 1.14 μB/atom.

Cell and atoms, written as extended XYZ:
```
5
Lattice="-1.464 -4.041 1.606 0.124 -1.733 -4.246 4.346 -1.311 0.662" Properties=species:S:1:pos:R:3 pbc="T T T"
Zr 0.000 0.000 0.000
Ag 1.504 -3.542 -0.989
Fe 0.062 -0.866 -2.123
Fe 2.173 -0.655 0.331
Fe -0.732 -2.020 0.803
```


Q:
Compound: ZrFe3Ag
Source: Alexandria via LeMat-Bulk
Functional: PBE
Structure: optimized geometry

Summary:
As for the space group: Pm-3m (221). As for the magnetization: 1.54 μB/atom.

Cell and atoms, written as extended XYZ:
```
5
Lattice="4.658 0.000 0.000 0.000 4.658 0.000 0.000 0.000 4.658" Properties=species:S:1:pos:R:3 pbc="T T T"
Zr 2.329 2.329 2.329
Ag 0.000 0.000 0.000
Fe 0.000 2.329 0.000
Fe 0.000 0.000 2.329
Fe 2.329 0.000 0.000
```


Q has the most favorable energy; the next structure is 0.188 eV/atom above.


P:
Compound: ZrFeAg3
Source: Alexandria via LeMat-Bulk
Functional: PBE
Structure: optimized geometry

Summary:
As for the space group: Pm-3m (221). As for the magnetization: 0.14 μB/atom.

Cell and atoms, written as extended XYZ:
```
5
Lattice="-3.588 -0.900 -2.917 2.988 -0.117 -3.640 0.623 -4.622 0.660" Properties=species:S:1:pos:R:3 pbc="T T T"
Zr 0.012 -2.820 -2.948
Ag 1.494 -0.059 -1.820
Ag 0.312 -2.311 0.330
Ag -1.794 -0.450 -1.458
Fe 0.000 0.000 0.000
```


Q:
Compound: ZrFeAg3
Source: Alexandria via LeMat-Bulk
Functional: PBE
Structure: optimized geometry

Summary:
As for the space group: Pm-3m (221). As for the magnetization: 0.79 μB/atom.

Cell and atoms, written as extended XYZ:
```
5
Lattice="5.199 0.000 0.000 0.000 5.199 0.000 0.000 0.000 5.199" Properties=species:S:1:pos:R:3 pbc="T T T"
Zr 0.000 0.000 0.000
Ag 0.000 2.600 0.000
Ag 0.000 0.000 2.600
Ag 2.600 0.000 0.000
Fe 2.600 2.600 2.600
```


P has the most favorable energy; the next structure is 0.567 eV/atom above.


P:
Compound: Ga5Ag7
Source: Alexandria via LeMat-Bulk
Functional: PBE
Structure: optimized geometry

Summary:
As for the space group: C2/m (12). As for the magnetization: 0.00 μB/atom.

Cell and atoms, written as extended XYZ:
```
12
Lattice="3.026 0.000 0.477 1.255 7.212 1.874 0.025 -0.064 9.676" Properties=species:S:1:pos:R:3 pbc="T T T"
Ga 3.586 5.963 6.760
Ga 0.720 1.185 5.268
Ga 2.565 2.631 3.405
Ga 1.742 4.517 8.623
Ga 0.000 0.000 0.000
Ag 3.182 6.924 9.325
Ag 1.124 0.224 2.704
Ag 0.965 5.012 3.717
Ag 3.342 2.136 8.311
Ag 1.421 2.384 0.825
Ag 2.153 3.574 6.014
Ag 2.886 4.764 11.203
```


Q:
Compound: Ga5Ag7
Source: Alexandria via LeMat-Bulk
Functional: PBE
Structure: optimized geometry

Summary:
As for the space group: C2/m (12). As for the magnetization: 0.00 μB/atom.

Cell and atoms, written as extended XYZ:
```
12
Lattice="4.847 0.000 0.000 -2.424 4.330 -0.187 0.000 -2.298 10.316" Properties=species:S:1:pos:R:3 pbc="T T T"
Ga 0.000 0.305 5.078
Ga 2.424 1.727 5.051
Ga 0.000 1.604 2.443
Ga 2.424 0.428 7.686
Ga 0.000 0.000 0.000
Ag 0.000 1.814 7.554
Ag 2.424 0.218 2.574
Ag 2.424 3.055 2.406
Ag 0.000 -1.023 7.723
Ag 2.424 -0.874 10.153
Ag 2.424 -1.149 5.158
Ag 0.000 2.906 -0.024
```


P has the most favorable energy; the next structure is 0.030 eV/atom above.


P:
Compound: Ga3Ag
Source: Alexandria via LeMat-Bulk
Functional: PBE
Structure: optimized geometry

Summary:
As for the space group: Pmm2 (25). As for the magnetization: 0.00 μB/atom.

Cell and atoms, written as extended XYZ:
```
4
Lattice="3.094 0.000 0.000 0.000 2.882 0.000 0.000 0.000 8.348" Properties=species:S:1:pos:R:3 pbc="T T T"
Ga 0.000 1.441 3.898
Ga 1.547 1.441 1.647
Ga 1.547 0.000 5.841
Ag 0.000 0.000 8.092
```


Q:
Compound: Ga3Ag
Source: Alexandria via LeMat-Bulk
Functional: PBE
Structure: optimized geometry

Summary:
As for the space group: Fm-3m (225). As for the magnetization: 0.00 μB/atom.

Cell and atoms, written as extended XYZ:
```
4
Lattice="-1.025 3.164 3.380 -4.053 2.453 -0.199 -3.467 -0.892 3.110" Properties=species:S:1:pos:R:3 pbc="T T T"
Ga -2.136 1.181 1.573
Ga -6.409 3.544 4.718
Ga -4.272 2.363 3.145
Ag 0.000 0.000 0.000
```


R:
Compound: Ga3Ag
Source: Alexandria via LeMat-Bulk
Functional: PBE
Structure: optimized geometry

Summary:
As for the space group: Cmcm (63). As for the magnetization: 0.00 μB/atom.

Cell and atoms, written as extended XYZ:
```
8
Lattice="4.220 0.000 0.000 -2.110 4.405 0.000 0.000 0.000 8.355" Properties=species:S:1:pos:R:3 pbc="T T T"
Ga 0.000 3.448 6.267
Ga 2.110 0.958 2.089
Ga 0.000 1.258 8.101
Ga 2.110 3.147 0.254
Ga 2.110 3.147 3.923
Ga 0.000 1.258 4.432
Ag 2.110 1.633 6.267
Ag 0.000 2.772 2.089
```


S:
Compound: Ga3Ag
Source: Alexandria via LeMat-Bulk
Functional: PBE
Structure: optimized geometry

Summary:
As for the space group: Imm2 (44). As for the magnetization: 0.00 μB/atom.

Cell and atoms, written as extended XYZ:
```
4
Lattice="-0.369 2.812 0.454 -5.188 -0.660 -0.126 2.760 -1.864 4.703" Properties=species:S:1:pos:R:3 pbc="T T T"
Ga -1.804 -0.629 2.426
Ga -2.713 1.084 0.166
Ga 0.605 1.119 2.643
Ag -5.121 -0.652 -0.125
```


P has the most favorable energy; the next structure is 0.013 eV/atom above.